# Na2LuMoPO8 (PBE+U, optimized geometry)
# - Calculated total energy: -723.722 eV per cell
# - Total magnetization: 0.000 μB/f.u.
data_Na2LuMoPO8
_cell_length_a 6.816
_cell_length_b 12.046
_cell_length_c 18.201
_cell_angle_alpha 90.00
_cell_angle_beta 90.00
_cell_angle_gamma 90.00
_symmetry_space_group_name_H-M 'I b c a'
_symmetry_Int_Tables_number 73
_symmetry_space_group_name_Hall '-I 2b 2c'
loop_
_atom_site_label
_atom_site_type_symbol
_atom_site_fract_x
_atom_site_fract_y
_atom_site_fract_z
Na1 Na 0.005 0.058 0.154
Lu1 Lu 0.250 0.178 0.500
Mo1 Mo 0.000 0.250 0.325
P1 P 0.250 0.068 0.000
O1 O 0.041 0.129 0.771
O2 O 0.073 0.149 0.007
O3 O 0.215 0.226 0.381
O4 O 0.241 0.009 0.568